Below is a relaxed MgCdIn2Hg2 crystal, with properties calculated at the PBE level.

Cell lengths 4.7563, 9.9346, 6.1757 Å; angles 90.00, 90.00, 90.00 degrees
Atoms (fractional coordinates):
Mg (0.0000, 0.1693, 0.0000)
Mg (0.0000, 0.8307, 0.5000)
Cd (0.5000, 0.0080, 0.2546)
Cd (0.5000, 0.9920, 0.7546)
In (0.0000, 0.4878, 0.4260)
In (0.0000, 0.5122, 0.9260)
In (0.5000, 0.3209, 0.6879)
In (0.5000, 0.6791, 0.1879)
Hg (0.0000, 0.1396, 0.5057)
Hg (0.0000, 0.8604, 0.0057)
Hg (0.5000, 0.3253, 0.1825)
Hg (0.5000, 0.6747, 0.6825)

Values from the calculation:
Energy of formation: -0.26 eV per formula unit

Below is a relaxed Mg5Cd2InHg2 crystal, with properties calculated at the PBE level.

Cell lengths 10.3395, 10.3395, 4.3973 Å; angles 90.00, 90.00, 90.00 degrees
Atoms (fractional coordinates):
Mg (0.0000, 0.5000, 0.0000)
Mg (0.0881, 0.1952, 0.0000)
Mg (0.1952, 0.9119, 0.0000)
Mg (0.3048, 0.4119, 0.0000)
Mg (0.4119, 0.6952, 0.0000)
Mg (0.5000, 0.0000, 0.0000)
Mg (0.5881, 0.3048, 0.0000)
Mg (0.6952, 0.5881, 0.0000)
Mg (0.8048, 0.0881, 0.0000)
Mg (0.9119, 0.8048, 0.0000)
Cd (0.1685, 0.6685, 0.5000)
Cd (0.3315, 0.1685, 0.5000)
Cd (0.6685, 0.8315, 0.5000)
Cd (0.8315, 0.3315, 0.5000)
In (0.0000, 0.0000, 0.5000)
In (0.5000, 0.5000, 0.5000)
Hg (0.1274, 0.3726, 0.5000)
Hg (0.3726, 0.8726, 0.5000)
Hg (0.6274, 0.1274, 0.5000)
Hg (0.8726, 0.6274, 0.5000)

Values from the calculation:
Energy of formation: -0.61 eV per formula unit

Below is a relaxed Mg2Cd3In2Hg4 crystal, with properties calculated at the PBE level.

Cell lengths 5.0580, 5.0580, 12.2474 Å; angles 90.00, 90.00, 120.00 degrees
Atoms (fractional coordinates):
Mg (0.3333, 0.6667, 0.1084)
Mg (0.6667, 0.3333, 0.8916)
Cd (0.0000, 0.0000, 0.0000)
Cd (0.0000, 0.0000, 0.2550)
Cd (0.0000, 0.0000, 0.7450)
In (0.3333, 0.6667, 0.5974)
In (0.6667, 0.3333, 0.4026)
Hg (0.3333, 0.6667, 0.3480)
Hg (0.3333, 0.6667, 0.8657)
Hg (0.6667, 0.3333, 0.1343)
Hg (0.6667, 0.3333, 0.6520)

Values from the calculation:
Energy of formation: -0.47 eV per formula unit

Below is a relaxed MgCdInHg4 crystal, with properties calculated at the PBE level.

Cell lengths 8.1609, 8.1609, 8.1609 Å; angles 133.09, 103.36, 94.92 degrees
Atoms (fractional coordinates):
Mg (0.5000, 0.0000, 0.0000)
Mg (0.5000, 0.5000, 0.5000)
Cd (0.0000, 0.0000, 0.0000)
Cd (0.5000, 0.0000, 0.5000)
In (0.0074, 0.7574, 0.2500)
In (0.9926, 0.2426, 0.7500)
Hg (0.1882, 0.6639, 0.5243)
Hg (0.2422, 0.2504, 0.5082)
Hg (0.2422, 0.7340, 0.9918)
Hg (0.3604, 0.3361, 0.0243)
Hg (0.6396, 0.6639, 0.9757)
Hg (0.7578, 0.2660, 0.0082)
Hg (0.7578, 0.7496, 0.4918)
Hg (0.8118, 0.3361, 0.4757)

Values from the calculation:
Energy of formation: 0.11 eV per formula unit

Below is a relaxed MgCdInHg2 crystal, with properties calculated at the PBE level.

Cell lengths 8.8336, 8.8336, 9.0957 Å; angles 90.00, 90.00, 158.34 degrees
Atoms (fractional coordinates):
Mg (0.2427, 0.7573, 0.7500)
Mg (0.7573, 0.2427, 0.2500)
Cd (0.0000, 0.0000, 0.0000)
Cd (0.0000, 0.0000, 0.5000)
In (0.1076, 0.8924, 0.2500)
In (0.8924, 0.1076, 0.7500)
Hg (0.3449, 0.6551, 0.0466)
Hg (0.3449, 0.6551, 0.4534)
Hg (0.6551, 0.3449, 0.5466)
Hg (0.6551, 0.3449, 0.9534)

Values from the calculation:
Energy of formation: -0.02 eV per formula unit

Below is a relaxed Mg3Cd3InHg2 crystal, with properties calculated at the PBE level.

Cell lengths 8.1776, 8.1776, 3.5302 Å; angles 90.00, 90.00, 120.00 degrees
Atoms (fractional coordinates):
Mg (0.0000, 0.6188, 0.0000)
Mg (0.3812, 0.3812, 0.0000)
Mg (0.6188, 0.0000, 0.0000)
Cd (0.0000, 0.2935, 0.5000)
Cd (0.2935, 0.0000, 0.5000)
Cd (0.7065, 0.7065, 0.5000)
In (0.0000, 0.0000, 0.0000)
Hg (0.3333, 0.6667, 0.5000)
Hg (0.6667, 0.3333, 0.5000)

Values from the calculation:
Energy of formation: -0.75 eV per formula unit

Below is a relaxed MgCdIn2Hg4 crystal, with properties calculated at the PBE level.

Cell lengths 6.3805, 6.3805, 6.3805 Å; angles 109.12, 109.12, 110.17 degrees
Atoms (fractional coordinates):
Mg (0.0000, 0.0000, 0.0000)
Cd (0.5000, 0.5000, 0.0000)
In (0.0000, 0.5000, 0.5000)
In (0.5000, 0.0000, 0.5000)
Hg (0.0007, 0.0007, 0.5015)
Hg (0.4992, 0.4992, 0.4985)
Hg (0.5008, 0.9993, 0.0000)
Hg (0.9993, 0.5008, 0.0000)

Values from the calculation:
Energy of formation: -0.22 eV per formula unit

Below is a relaxed MgCdIn3Hg crystal, with properties calculated at the PBE level.

Cell lengths 8.4006, 8.4006, 11.0413 Å; angles 90.00, 90.00, 157.37 degrees
Atoms (fractional coordinates):
Mg (0.0552, 0.9448, 0.7500)
Mg (0.9448, 0.0552, 0.2500)
Cd (0.5000, 0.5000, 0.0000)
Cd (0.5000, 0.5000, 0.5000)
In (0.1650, 0.8350, 0.0020)
In (0.1650, 0.8350, 0.4980)
In (0.3897, 0.6103, 0.7500)
In (0.6103, 0.3897, 0.2500)
In (0.8350, 0.1650, 0.5020)
In (0.8350, 0.1650, 0.9980)
Hg (0.2900, 0.7100, 0.2500)
Hg (0.7100, 0.2900, 0.7500)

Values from the calculation:
Energy of formation: -0.07 eV per formula unit

Below is a relaxed Mg2Cd2InHg2 crystal, with properties calculated at the PBE level.

Cell lengths 6.2350, 6.2350, 6.0835 Å; angles 103.96, 103.96, 49.98 degrees
Atoms (fractional coordinates):
Mg (0.2423, 0.2423, 0.3504)
Mg (0.7577, 0.7577, 0.6496)
Cd (0.4930, 0.4930, 0.7331)
Cd (0.5070, 0.5070, 0.2669)
In (0.0000, 0.0000, 0.0000)
Hg (0.2279, 0.2279, 0.8254)
Hg (0.7721, 0.7721, 0.1746)

Values from the calculation:
Energy of formation: -0.16 eV per formula unit

Below is a relaxed MgCdIn2Hg5 crystal, with properties calculated at the PBE level.

Cell lengths 8.5302, 8.5302, 12.8657 Å; angles 90.00, 90.00, 150.64 degrees
Atoms (fractional coordinates):
Mg (0.2217, 0.7783, 0.5000)
Mg (0.7783, 0.2217, 0.0000)
Cd (0.4243, 0.5757, 0.9735)
Cd (0.5757, 0.4243, 0.4735)
In (0.0935, 0.9065, 0.9667)
In (0.0988, 0.9012, 0.2954)
In (0.9012, 0.0988, 0.7954)
In (0.9065, 0.0935, 0.4667)
Hg (0.0576, 0.9424, 0.6335)
Hg (0.2512, 0.7488, 0.8421)
Hg (0.2834, 0.7166, 0.1649)
Hg (0.3715, 0.6285, 0.6285)
Hg (0.4430, 0.5570, 0.3036)
Hg (0.5570, 0.4430, 0.8036)
Hg (0.6285, 0.3715, 0.1285)
Hg (0.7166, 0.2834, 0.6649)
Hg (0.7488, 0.2512, 0.3421)
Hg (0.9424, 0.0576, 0.1335)

Values from the calculation:
Energy of formation: -0.13 eV per formula unit

Below is a relaxed MgCd2InHg2 crystal, with properties calculated at the PBE level.

Cell lengths 4.6549, 9.1242, 6.6823 Å; angles 90.00, 90.00, 90.00 degrees
Atoms (fractional coordinates):
Mg (0.0000, 0.1789, 0.0000)
Mg (0.0000, 0.8211, 0.5000)
Cd (0.0000, 0.4818, 0.4371)
Cd (0.0000, 0.5182, 0.9371)
Cd (0.5000, 0.3308, 0.7137)
Cd (0.5000, 0.6692, 0.2137)
In (0.5000, 0.0102, 0.2671)
In (0.5000, 0.9898, 0.7671)
Hg (0.0000, 0.1540, 0.5185)
Hg (0.0000, 0.8460, 0.0185)
Hg (0.5000, 0.3400, 0.1832)
Hg (0.5000, 0.6600, 0.6832)

Values from the calculation:
Energy of formation: -0.25 eV per formula unit

Below is a relaxed Mg2Cd2InHg7 crystal, with properties calculated at the PBE level.

Cell lengths 10.4834, 10.4834, 5.4671 Å; angles 104.97, 104.97, 30.23 degrees
Atoms (fractional coordinates):
Mg (0.0000, 0.0000, 0.0000)
Mg (0.5001, 0.5001, 0.4953)
Cd (0.0884, 0.0884, 0.5853)
Cd (0.4117, 0.4117, 0.9078)
In (0.7501, 0.7501, 0.2488)
Hg (0.1605, 0.1605, 0.1567)
Hg (0.2500, 0.2500, 0.7460)
Hg (0.3396, 0.3396, 0.3357)
Hg (0.5676, 0.5676, 0.0620)
Hg (0.6606, 0.6606, 0.6568)
Hg (0.8395, 0.8395, 0.8408)
Hg (0.9325, 0.9325, 0.4347)

Values from the calculation:
Energy of formation: -0.39 eV per formula unit

Below is a relaxed MgCdIn2Hg6 crystal, with properties calculated at the PBE level.

Cell lengths 9.1199, 9.1199, 7.8462 Å; angles 105.93, 105.93, 112.98 degrees
Atoms (fractional coordinates):
Mg (0.1958, 0.8042, 0.7500)
Mg (0.8042, 0.1958, 0.2500)
Cd (0.4876, 0.5124, 0.2500)
Cd (0.5124, 0.4876, 0.7500)
In (0.0780, 0.3842, 0.6963)
In (0.3842, 0.0780, 0.1963)
In (0.6158, 0.9220, 0.8037)
In (0.9220, 0.6158, 0.3037)
Hg (0.0169, 0.6835, 0.9806)
Hg (0.1560, 0.1891, 0.3643)
Hg (0.1891, 0.1560, 0.8643)
Hg (0.2768, 0.5881, 0.4592)
Hg (0.3165, 0.9831, 0.5194)
Hg (0.4119, 0.7232, 0.0408)
Hg (0.5881, 0.2768, 0.9592)
Hg (0.6835, 0.0169, 0.4806)
Hg (0.7232, 0.4119, 0.5408)
Hg (0.8109, 0.8440, 0.1357)
Hg (0.8440, 0.8109, 0.6357)
Hg (0.9831, 0.3165, 0.0194)

Values from the calculation:
Energy of formation: -0.02 eV per formula unit

Below is a relaxed MgCd3In2Hg6 crystal, with properties calculated at the PBE level.

Cell lengths 4.2216, 4.2216, 20.1616 Å; angles 90.00, 90.00, 90.00 degrees
Atoms (fractional coordinates):
Mg (0.0000, 0.0000, 0.0000)
Cd (0.5000, 0.5000, 0.2163)
Cd (0.5000, 0.5000, 0.5000)
Cd (0.5000, 0.5000, 0.7837)
In (0.0000, 0.0000, 0.2815)
In (0.0000, 0.0000, 0.7185)
Hg (0.0000, 0.5000, 0.1029)
Hg (0.0000, 0.5000, 0.8971)
Hg (0.5000, 0.0000, 0.1029)
Hg (0.5000, 0.0000, 0.8971)
Hg (0.5000, 0.5000, 0.3609)
Hg (0.5000, 0.5000, 0.6391)

Values from the calculation:
Energy of formation: 1.03 eV per formula unit

Below is a relaxed MgCd2In5Hg crystal, with properties calculated at the PBE level.

Cell lengths 8.5278, 8.5278, 15.1550 Å; angles 90.00, 90.00, 155.52 degrees
Atoms (fractional coordinates):
Mg (0.1046, 0.8954, 0.5000)
Mg (0.8954, 0.1046, 0.0000)
Cd (0.3500, 0.6500, 0.8353)
Cd (0.4419, 0.5581, 0.5014)
Cd (0.5581, 0.4419, 0.0014)
Cd (0.6500, 0.3500, 0.3353)
In (0.0102, 0.9898, 0.8363)
In (0.1175, 0.8825, 0.1609)
In (0.2186, 0.7814, 0.6763)
In (0.3182, 0.6818, 0.3494)
In (0.4457, 0.5543, 0.1670)
In (0.5543, 0.4457, 0.6670)
In (0.6818, 0.3182, 0.8494)
In (0.7814, 0.2186, 0.1763)
In (0.8825, 0.1175, 0.6609)
In (0.9898, 0.0102, 0.3363)
Hg (0.2474, 0.7526, 0.0063)
Hg (0.7526, 0.2474, 0.5063)

Values from the calculation:
Energy of formation: 0.03 eV per formula unit

Below is a relaxed Mg2CdInHg6 crystal, with properties calculated at the PBE level.

Cell lengths 7.9479, 7.6377, 9.8846 Å; angles 90.00, 123.92, 90.00 degrees
Atoms (fractional coordinates):
Mg (0.2504, 0.1588, 0.2025)
Mg (0.2504, 0.3412, 0.7025)
Mg (0.7496, 0.6588, 0.2975)
Mg (0.7496, 0.8412, 0.7975)
Cd (0.0000, 0.0000, 0.5000)
Cd (0.0000, 0.5000, 0.0000)
In (0.5000, 0.0000, 0.0000)
In (0.5000, 0.5000, 0.5000)
Hg (0.0318, 0.1095, 0.8090)
Hg (0.0318, 0.3905, 0.3090)
Hg (0.2716, 0.7083, 0.6001)
Hg (0.2716, 0.7917, 0.1001)
Hg (0.3981, 0.1098, 0.5546)
Hg (0.3981, 0.3902, 0.0546)
Hg (0.6019, 0.6098, 0.9454)
Hg (0.6019, 0.8902, 0.4454)
Hg (0.7284, 0.2083, 0.8999)
Hg (0.7284, 0.2917, 0.3999)
Hg (0.9682, 0.6095, 0.6910)
Hg (0.9682, 0.8905, 0.1910)

Values from the calculation:
Energy of formation: -0.42 eV per formula unit

Below is a relaxed MgCd2InHg8 crystal, with properties calculated at the PBE level.

Cell lengths 6.8554, 6.8554, 7.8975 Å; angles 90.00, 90.00, 120.00 degrees
Atoms (fractional coordinates):
Mg (0.0000, 0.0000, 0.0000)
Cd (0.3333, 0.6667, 0.9201)
Cd (0.6667, 0.3333, 0.0799)
In (0.0000, 0.0000, 0.5000)
Hg (0.1799, 0.3597, 0.2343)
Hg (0.1799, 0.8201, 0.2343)
Hg (0.3333, 0.6667, 0.5598)
Hg (0.3597, 0.1799, 0.7657)
Hg (0.6403, 0.8201, 0.2343)
Hg (0.6667, 0.3333, 0.4402)
Hg (0.8201, 0.1799, 0.7657)
Hg (0.8201, 0.6403, 0.7657)

Values from the calculation:
Energy of formation: 0.43 eV per formula unit

Below is a relaxed Mg2Cd2In4Hg3 crystal, with properties calculated at the PBE level.

Cell lengths 4.8723, 4.8723, 14.3289 Å; angles 90.00, 90.00, 120.00 degrees
Atoms (fractional coordinates):
Mg (0.3333, 0.6667, 0.1551)
Mg (0.6667, 0.3333, 0.8449)
Cd (0.3333, 0.6667, 0.5643)
Cd (0.6667, 0.3333, 0.4357)
In (0.3333, 0.6667, 0.3579)
In (0.3333, 0.6667, 0.9185)
In (0.6667, 0.3333, 0.0815)
In (0.6667, 0.3333, 0.6421)
Hg (0.0000, 0.0000, 0.0000)
Hg (0.0000, 0.0000, 0.2573)
Hg (0.0000, 0.0000, 0.7427)

Values from the calculation:
Energy of formation: 0.47 eV per formula unit

Below is a relaxed NaCd2InHg2 crystal, with properties calculated at the PBE level.

Cell lengths 5.1935, 8.9958, 6.3478 Å; angles 90.00, 90.00, 90.00 degrees
Atoms (fractional coordinates):
Na (0.0000, 0.0010, 0.0000)
Na (0.0000, 0.9990, 0.5000)
Cd (0.0000, 0.3369, 0.2535)
Cd (0.0000, 0.6631, 0.7535)
Cd (0.5000, 0.4990, 0.9990)
Cd (0.5000, 0.5010, 0.4990)
In (0.5000, 0.1694, 0.7462)
In (0.5000, 0.8306, 0.2462)
Hg (0.0000, 0.3319, 0.7532)
Hg (0.0000, 0.6681, 0.2532)
Hg (0.5000, 0.1692, 0.2473)
Hg (0.5000, 0.8308, 0.7473)

Values from the calculation:
Energy of formation: -0.48 eV per formula unit

Below is a relaxed Na2CdIn2Hg2 crystal, with properties calculated at the PBE level.

Cell lengths 9.3523, 9.3523, 9.3523 Å; angles 31.03, 31.03, 31.03 degrees
Atoms (fractional coordinates):
Na (0.1279, 0.1279, 0.1279)
Na (0.8721, 0.8721, 0.8721)
Cd (0.0000, 0.0000, 0.0000)
In (0.3807, 0.3807, 0.3807)
In (0.6193, 0.6193, 0.6193)
Hg (0.2467, 0.2467, 0.2467)
Hg (0.7533, 0.7533, 0.7533)

Values from the calculation:
Energy of formation: -0.81 eV per formula unit